# GGA-PBE Ti6InPb2, relaxed
data_Ti6InPb2
_chemical_formula_sum 'Ti12 In2 Pb4'
_cell_length_a 2.962
_cell_length_b 8.157
_cell_length_c 14.469
_cell_angle_alpha 90.00
_cell_angle_beta 90.00
_cell_angle_gamma 90.00
_space_group_name_H-M_alt 'I m m m'
_space_group_IT_number 71
_space_group_name_Hall '-I 2 2'
loop_
_atom_site_label
_atom_site_fract_x
_atom_site_fract_y
_atom_site_fract_z
Ti1 0.000 0.173 0.000
Ti2 0.000 0.325 0.170
In1 0.000 0.000 0.500
Pb1 0.000 0.500 0.345
# - energy (eV/atom) = -6.228
# - DFT formation energy (eV per formula unit) = 1.477
# - ΔE to the lowest computed polymorph (meV per atom) = 0